A plane-wave DFT calculation with PBE-GGA was carried out for an optimized crystal structure of K2LiNbI.

a = 6.7107 Å, b = 6.7107 Å, c = 5.5680 Å
α = 90.00°, β = 90.00°, γ = 90.00°
Space group P4/mmm (No. 123)
One atom of each set of equivalent atoms:
1 K 0.0000 0.5000 0.0000 (multiplicity 2)
2 Li 0.0000 0.0000 0.5000 (multiplicity 1)
3 Nb 0.5000 0.5000 0.5000 (multiplicity 1)
4 I 0.5000 0.5000 0.0000 (multiplicity 1)

Values from the calculation:
- E_tot (eV per atom) = -2.56
- density of states at the Fermi level (states/eV/f.u.) = 5.10